(1)
# ScCuGeAu, optimized geometry, DFT PBE
# Energy above the most stable polymorph in this dataset = 0.18 eV per formula unit
# Space group = No. 216
data_ScCuGeAu
_chemical_formula_sum 'Sc1 Cu1 Ge1 Au1'
_symmetry_space_group_name_H-M 'P 1'
_symmetry_Int_Tables_number 1
_symmetry_space_group_name_Hall 'P 1'
_cell_length_a 4.598
_cell_length_b 4.598
_cell_length_c 4.598
_cell_angle_alpha 60.00
_cell_angle_beta 60.00
_cell_angle_gamma 60.00
loop_
_atom_site_label
_atom_site_type_symbol
_atom_site_fract_x
_atom_site_fract_y
_atom_site_fract_z
_atom_site_occupancy
Sc1 Sc 0.000 0.000 0.000 1
Cu1 Cu 0.750 0.750 0.750 1
Ge1 Ge 0.500 0.500 0.500 1
Au1 Au 0.250 0.250 0.250 1



(2)
# Sm2CuGe2Au, optimized geometry, DFT PBE
# Space group = No. 156
# Calculated total energy = -5.0195 eV per atom
data_Sm2CuGe2Au
_chemical_formula_sum 'Sm2 Cu1 Ge2 Au1'
_symmetry_space_group_name_H-M 'P 1'
_symmetry_Int_Tables_number 1
_symmetry_space_group_name_Hall 'P 1'
_cell_length_a 4.430
_cell_length_b 4.430
_cell_length_c 7.510
_cell_angle_alpha 90.00
_cell_angle_beta 90.00
_cell_angle_gamma 120.00
loop_
_atom_site_label
_atom_site_type_symbol
_atom_site_fract_x
_atom_site_fract_y
_atom_site_fract_z
_atom_site_occupancy
Sm1 Sm 0.000 0.000 0.000 1
Sm2 Sm 0.000 0.000 0.493 1
Cu1 Cu 0.667 0.333 0.277 1
Ge1 Ge 0.333 0.667 0.223 1
Ge2 Ge 0.667 0.333 0.706 1
Au1 Au 0.333 0.667 0.777 1